No. 1
PBE-GGA RbTiC2O8, relaxed; E = -6.9283 eV/atom; Fermi-level density of states = 0.231 states/eV per atom; spin magnetization = 0.251 μB per atom
1.0
4.241 -2.507 0.000
4.241 2.507 0.000
-2.386 0.000 7.756
Rb Ti C O
1 1 2 8
direct
0.000 0.000 0.000
0.500 0.500 0.500
0.209 0.209 0.691
0.791 0.791 0.309
0.114 0.671 0.334
0.311 0.311 0.856
0.315 0.315 0.592
0.329 0.886 0.666
0.671 0.114 0.334
0.685 0.685 0.408
0.689 0.689 0.144
0.886 0.329 0.666

No. 2
PBE-GGA CoSi2Se, relaxed; E = -5.3246 eV/atom; Fermi-level density of states = 0.302 states/eV per atom; spin magnetization = 0.000 μB per atom
1.0
3.875 0.000 0.000
0.000 2.354 3.494
0.000 -2.354 3.494
Co Si Se
1 2 1
direct
0.000 0.000 0.000
0.000 0.608 0.608
0.500 0.829 0.829
0.500 0.202 0.202